1.
## NdTmInAu (GGA-PBE)

Data for a relaxed structure of NdTmInAu.

The formation energy is -0.58 eV per atom. As for the total magnetization: 0.0 μB/cell.

The structure belongs to space group F-43m (No. 216); the cell edges are 7.468, 7.468 and 7.468 Å and the angles 90.00°, 90.00° and 90.00°. The distinct sites, in fractional coordinates, are Nd at (0.000, 0.000, 0.000), Tm at (0.000, 0.000, 0.500), In at (0.250, 0.250, 0.750) and Au at (0.250, 0.250, 0.250).



2.
## AcTbSeS (GGA-PBE)

Data for a relaxed structure of AcTbSeS.

The value obtained for the uncorrected formation energy is -1.91 eV per atom. As for the total magnetization: 0.0 μB/cell.

The structure belongs to space group R3m (No. 160, hexagonal axes); the cell edges are 4.1272, 4.1272 and 21.3003 Å and the angles 90.00°, 90.00° and 120.00°. The distinct sites, in fractional coordinates, are Ac at (0.0000, 0.0000, 0.0000), Tb at (0.0000, 0.0000, 0.4874), Se at (0.0000, 0.0000, 0.2348) and S at (0.0000, 0.0000, 0.7541).



3.
## YTm4Th (GGA-PBE)

Data for a relaxed structure of YTm4Th.

The formation energy is 0.16 eV per atom. The value obtained for the distance to the lowest polymorph of the same formula is 153 meV/atom. As for the total magnetization: 0.0 μB/cell.

The structure belongs to space group C2/c (No. 15); the cell edges are 8.685, 14.383 and 6.578 Å and the angles 90.00°, 110.42° and 90.00°. The distinct sites, in fractional coordinates, are Y at (0.000, 0.087, 0.250), Tm at (0.093, 0.307, 0.533), Tm at (0.202, 0.131, 0.878) and Th at (0.000, 0.500, 0.250).



4.
## CdIr2Ru (GGA-PBE)

Data for a relaxed structure of CdIr2Ru.

The formation energy is 0.22 eV per atom. As for the total magnetization: 0.6 μB/cell.

The structure belongs to space group C2/m (No. 12); the cell edges are 9.313, 2.779 and 4.869 Å and the angles 90.00°, 99.72° and 90.00°. The distinct sites, in fractional coordinates, are Cd at (0.000, 0.000, 0.000), Ir at (0.241, 0.000, 0.732) and Ru at (0.000, 0.500, 0.500).



5.
## ScSbTe2N (GGA-PBE)

Data for a relaxed structure of ScSbTe2N.

The value obtained for the distance to the lowest polymorph of the same formula is 0 meV/atom. The value obtained for the uncorrected formation energy is 0.11 eV per atom. As for the total magnetization: 0.0 μB/cell.

The structure belongs to space group P4/mmm (No. 123); the cell edges are 5.735, 5.735 and 3.941 Å and the angles 90.00°, 90.00° and 90.00°. The distinct sites, in fractional coordinates, are Sc at (0.000, 0.000, 0.000), Sb at (0.500, 0.500, 0.500), Te at (0.000, 0.500, 0.000) and N at (0.000, 0.000, 0.500).



6.
## LaSmPaO6 (GGA-PBE)

Data for a relaxed structure of LaSmPaO6.

The value obtained for the uncorrected formation energy is -3.14 eV per atom. As for the total magnetization: 0.6 μB/cell.

The structure belongs to space group P312 (No. 149); the cell edges are 6.0189, 6.0189 and 4.6888 Å and the angles 90.00°, 90.00° and 120.00°. The distinct sites, in fractional coordinates, are La at (0.0000, 0.0000, 0.0000), Sm at (0.6667, 0.3333, 0.0000), Pa at (0.3333, 0.6667, 0.5000) and O at (0.0206, 0.3620, 0.2491).



7.
## Li2CoS2 (GGA-PBE)

Data for a relaxed structure of Li2CoS2.

The value obtained for the uncorrected formation energy is -0.65 eV per atom. As for the total magnetization: 2.7 μB/cell.

The structure belongs to space group P4/mbm (No. 127); the cell edges are 6.222, 6.222 and 3.662 Å and the angles 90.00°, 90.00° and 90.00°. The distinct sites, in fractional coordinates, are Li at (0.144, 0.356, 0.000), Co at (0.000, 0.000, 0.500) and S at (0.175, 0.675, 0.500).



8.
## Sr2CrAu (GGA-PBE)

Data for a relaxed structure of Sr2CrAu.

The formation energy is 0.07 eV per atom. The value obtained for the distance to the lowest polymorph of the same formula is 141 meV/atom. As for the total magnetization: 20.0 μB/cell.

The structure belongs to space group Fm-3m (No. 225); the cell edges are 7.839, 7.839 and 7.839 Å and the angles 90.00°, 90.00° and 90.00°. The distinct sites, in fractional coordinates, are Sr at (0.250, 0.250, 0.250), Cr at (0.000, 0.000, 0.000) and Au at (0.000, 0.000, 0.500).



no.,D(E_F) (states/eV/f.u.)
1,3.57
2,1.27
3,9.88
4,4.00
5,3.96
6,9.86
7,4.00
8,4.68